Material: NiP2PbO
Method: DFT, PBE with a Hubbard U
State: optimized geometry

```
NiP2PbO
1.0
5.189 0.000 0.000
0.000 5.189 0.000
0.000 0.000 4.133
Ni P O Pb
1 2 1 1
Cartesian
2.594 2.594 2.067
2.594 0.000 0.000
0.000 2.594 0.000
0.000 0.000 2.067
0.000 0.000 0.000
```

Results
ΔE to the lowest computed polymorph ... 0.822 eV/atom
Fermi-level density of states ... 7.3 states/eV/cell
Uncorrected energy ... -15.98 eV per cell